Entry 1:
Below is a relaxed structure of Sm2Tm6Pu, with properties calculated at the GGA-PBE level.

Lattice parameters (Å, degrees): 6.178 6.615 14.002 97.84 102.61 90.01
Atoms (fractional coordinates):
Sm: 0.416 0.584 0.669
Sm: 0.138 0.303 0.442
Sm: 0.584 0.416 0.331
Sm: 0.862 0.697 0.558
Tm: 0.305 0.809 0.442
Tm: 0.026 0.532 0.216
Tm: 0.695 0.191 0.558
Tm: 0.974 0.468 0.784
Tm: 0.749 0.915 0.330
Tm: 0.468 0.637 0.108
Tm: 0.251 0.085 0.670
Tm: 0.532 0.363 0.892
Tm: 0.358 0.865 0.892
Tm: 0.191 0.029 0.215
Tm: 0.642 0.135 0.108
Tm: 0.809 0.971 0.785
Pu: 0.077 0.250 0.000
Pu: 0.923 0.750 0.000

Computed properties:
As for the crystal system: triclinic. As for the energy of formation from the pure elements: 4 kJ per mole of atoms. The calculation puts the calculated volume at 553.0 Å³/cell. The space group is P-1. For the final energy, the calculation gives -5.5846 eV per atom.

=====

Entry 2:
Below is a relaxed structure of ZrPa5Tc6, with properties calculated at the GGA-PBE level.

Lattice parameters (Å, degrees): 4.843 6.827 8.380 65.98 73.10 90.00
Atoms (fractional coordinates):
Pa: 0.662 0.162 0.675
Pa: 0.333 0.333 0.334
Pa: 0.000 0.500 0.000
Pa: 0.667 0.667 0.666
Pa: 0.338 0.838 0.325
Tc: 0.835 0.584 0.329
Tc: 0.835 0.086 0.329
Tc: 0.500 0.749 0.000
Tc: 0.500 0.251 0.000
Tc: 0.165 0.914 0.671
Tc: 0.165 0.416 0.671
Zr: 0.000 0.000 0.000

Computed properties:
As for the crystal system: monoclinic. As for the energy of formation from the pure elements: -20 kJ per mole of atoms. The calculation puts the calculated volume at 239.9 Å³/cell. The space group is C2/m. For the final energy, the calculation gives -10.0628 eV per atom.

=====

Entry 3:
Below is a relaxed structure of AcAlCdAg2, with properties calculated at the GGA-PBE level.

Lattice parameters (Å, degrees): 4.696 4.421 6.659 109.39 110.64 90.00
Atoms (fractional coordinates):
Ac: 0.443 0.443 0.886
Al: 0.825 0.825 0.650
Cd: 0.199 0.699 0.398
Ag: 0.699 0.199 0.397
Ag: 0.047 0.047 0.093

Computed properties:
As for the crystal system: orthorhombic. As for the energy of formation from the pure elements: -24 kJ per mole of atoms. The calculation puts the calculated volume at 120.9 Å³/cell. The space group is Imm2. For the final energy, the calculation gives -3.1476 eV per atom.

=====

Entry 4:
Below is a relaxed structure of BaZrCd2Br, with properties calculated at the GGA-PBE level.

Lattice parameters (Å, degrees): 6.080 5.121 6.080 90.00 90.00 90.00
Atoms (fractional coordinates):
Br: 0.000 0.000 0.000
Ba: 0.500 0.500 0.500
Zr: 0.000 0.500 0.000
Cd: 0.000 0.000 0.500
Cd: 0.500 0.000 0.000

Computed properties:
As for the crystal system: tetragonal. The calculation puts the calculated volume at 189.3 Å³/cell. The space group is P4/mmm. For the final energy, the calculation gives -2.5273 eV per atom.

=====

Entry 5:
Below is a relaxed structure of CdAsRhSe2, with properties calculated at the GGA-PBE level.

Lattice parameters (Å, degrees): 5.151 5.151 5.044 90.00 90.00 90.00
Atoms (fractional coordinates):
As: 0.000 0.000 0.500
Rh: 0.500 0.500 0.500
Se: 0.000 0.500 0.000
Se: 0.500 0.000 0.000
Cd: 0.000 0.000 0.000

Computed properties:
For the offset from the most stable computed form, the calculation gives 953 meV/atom. As for the crystal system: tetragonal. The calculation puts the calculated volume at 133.8 Å³/cell. The space group is P4/mmm. For the final energy, the calculation gives -2.7813 eV per atom.

=====

Entry 6:
Below is a relaxed structure of K2NaCoBr6, with properties calculated at the GGA-PBE level.

Lattice parameters (Å, degrees): 7.447 7.539 10.598 90.00 90.07 90.00
Atoms (fractional coordinates):
K: 0.016 0.938 0.249
K: 0.516 0.562 0.749
K: 0.984 0.062 0.751
K: 0.484 0.438 0.251
Na: 0.500 0.000 0.000
Na: 0.000 0.500 0.500
Co: 0.500 0.000 0.500
Co: 0.000 0.500 0.000
Br: 0.267 0.680 0.040
Br: 0.767 0.820 0.540
Br: 0.733 0.320 0.960
Br: 0.233 0.180 0.460
Br: 0.324 0.730 0.466
Br: 0.824 0.770 0.966
Br: 0.676 0.270 0.534
Br: 0.176 0.230 0.034
Br: 0.926 0.503 0.224
Br: 0.426 0.997 0.724
Br: 0.074 0.497 0.776
Br: 0.574 0.003 0.276

Computed properties:
As for the crystal system: monoclinic. The calculation puts the calculated volume at 595.0 Å³/cell. The space group is P2_1/c. For the final energy, the calculation gives -3.1507 eV per atom.

=====

Look up the calculated volume of the fifth one. 133.8 Å³/cell